1.
A plane-wave DFT calculation with PBE was carried out for a relaxed Be4VCo5 crystal.

abc: 2.6352 2.6352 13.4472
angles: 90.00 90.00 90.00
Last column: nearest neighbours and their distance in Å.
Fractional coordinates of all 10 atoms:
Be 0.0000 0.0000 0.0960  8 Co 2.25-2.27, 1 Be 2.52
Be 0.0000 0.0000 0.2832  8 Co 2.25-2.29
Be 0.0000 0.0000 0.7168  8 Co 2.25-2.29
Be 0.0000 0.0000 0.9040  8 Co 2.25-2.27, 1 Be 2.52
V 0.0000 0.0000 0.5000  8 Co 2.45, 4 V 2.64
Co 0.5000 0.5000 0.0000  8 Be 2.27
Co 0.5000 0.5000 0.1900  8 Be 2.25
Co 0.5000 0.5000 0.3817  4 Be 2.29, 4 V 2.45
Co 0.5000 0.5000 0.6183  4 Be 2.29, 4 V 2.45
Co 0.5000 0.5000 0.8100  8 Be 2.25

Output
Energy of formation from the pure elements = -6.553 kcal/mol of atoms
Fermi-level density of states = 0.972 states/eV per atom
Space-group type = P4/mmm, No. 123

---

2.
A plane-wave DFT calculation with PBE was carried out for a relaxed Tb2Mg3Al2 crystal.

abc: 10.9874 10.9874 3.4648
angles: 90.00 90.00 156.36
Last column: nearest neighbours and their distance in Å.
Fractional coordinates of all 7 atoms:
Tb 0.1618 0.8382 0.0000  6 Al 3.07-3.14, 4 Mg 3.41
Tb 0.8382 0.1618 0.0000  6 Al 3.07-3.14, 4 Mg 3.41
Mg 0.0000 0.0000 0.0000  10 Mg 3.26-3.46, 2 Tb 3.48
Mg 0.4259 0.5741 0.5000  1 Al 3.06, 5 Mg 3.19-3.26, 4 Tb 3.41
Mg 0.5741 0.4259 0.5000  1 Al 3.06, 5 Mg 3.19-3.26, 4 Tb 3.41
Al 0.2834 0.7166 0.5000  2 Al 2.67
Al 0.7166 0.2834 0.5000  2 Al 2.67

Output
Energy of formation from the pure elements = -5.510 kcal/mol of atoms
Fermi-level density of states = 0.458 states/eV per atom
Space-group type = Cmmm, No. 65

---

energy of formation from the pure elements of number 1 (Be4VCo5)?
-6.553 kcal/mol of atoms

---

Which value of energy of formation from the pure elements does entry 1 give?
-6.553 kcal/mol of atoms

---

Number 2 is which compound?
Tb2Mg3Al2